(1)
First-principles (PBE-GGA) data for a geometry-optimized NdPaTiN4 structure, as listed in Alexandria via LeMat-Bulk.

Structure (POSCAR):
```
NdPaTiN4
1.0
2.763 -6.175 0.000
2.763 6.175 0.000
0.000 0.000 5.531
Nd Pa Ti N
2 2 2 8
Direct
0.107 0.893 0.750 Nd
0.893 0.107 0.250 Nd
0.386 0.614 0.750 Pa
0.614 0.386 0.250 Pa
0.237 0.763 0.250 Ti
0.763 0.237 0.750 Ti
0.000 0.500 0.000 N
0.000 0.500 0.500 N
0.081 0.919 0.250 N
0.443 0.557 0.250 N
0.500 0.000 0.000 N
0.500 0.000 0.500 N
0.557 0.443 0.750 N
0.919 0.081 0.750 N
```

Output
theoretical density: 8.43 g/cm3
space-group type: Cmcm
uncorrected energy: -130.671 eV for the cell shown
formation energy from raw total energies: -953 kJ/mol of formula units

(2)
First-principles (PBE-GGA) data for a geometry-optimized Nd3Pa3TiN8 structure, as listed in Alexandria via LeMat-Bulk.

Structure (POSCAR):
```
Nd3Pa3TiN8
1.0
3.455 1.995 5.792
-3.455 1.995 5.792
0.000 -3.990 5.792
Nd Pa Ti N
3 3 1 8
Direct
0.000 0.500 0.500 Nd
0.500 0.000 0.500 Nd
0.500 0.500 0.000 Nd
0.000 0.000 0.500 Pa
0.000 0.500 0.000 Pa
0.500 0.000 0.000 Pa
0.500 0.500 0.500 Ti
0.240 0.240 0.240 N
0.253 0.721 0.721 N
0.279 0.279 0.747 N
0.279 0.747 0.279 N
0.721 0.253 0.721 N
0.721 0.721 0.253 N
0.747 0.279 0.279 N
0.760 0.760 0.760 N
```

Output
theoretical density: 8.91 g/cm3
space-group type: R-3m
uncorrected energy: -139.154 eV for the cell shown
formation energy from raw total energies: -2110 kJ/mol of formula units

(3)
First-principles (PBE-GGA) data for a geometry-optimized Nd2TmPaN4 structure, as listed in Alexandria via LeMat-Bulk.

Structure (POSCAR):
```
Nd2TmPaN4
1.0
6.066 0.000 0.000
0.000 3.552 0.000
-2.015 0.000 5.857
Nd Tm Pa N
2 1 1 4
Direct
0.000 0.000 0.000 Nd
0.500 0.500 0.000 Nd
0.000 0.500 0.500 Tm
0.500 0.000 0.500 Pa
0.251 0.000 0.720 N
0.266 0.500 0.282 N
0.734 0.500 0.718 N
0.749 0.000 0.280 N
```

Output
theoretical density: 9.80 g/cm3
space-group type: P2/m
uncorrected energy: -69.600 eV for the cell shown
formation energy from raw total energies: -1235 kJ/mol of formula units

(4)
First-principles (PBE-GGA) data for a geometry-optimized Nd2UPaN6 structure, as listed in Alexandria via LeMat-Bulk.

Structure (POSCAR):
```
Nd2UPaN6
1.0
3.018 1.742 4.899
-3.018 1.742 4.899
0.000 -3.485 4.899
Nd U Pa N
2 1 1 6
Direct
0.000 0.000 0.000 Nd
0.500 0.500 0.500 Nd
0.233 0.233 0.233 U
0.735 0.735 0.735 Pa
0.088 0.890 0.448 N
0.381 0.575 0.962 N
0.448 0.088 0.890 N
0.575 0.962 0.381 N
0.890 0.448 0.088 N
0.962 0.381 0.575 N
```

Output
theoretical density: 9.04 g/cm3
space-group type: R3
uncorrected energy: -93.595 eV for the cell shown
formation energy from raw total energies: -1285 kJ/mol of formula units

(5)
First-principles (PBE-GGA) data for a geometry-optimized NdPaVN4 structure, as listed in Alexandria via LeMat-Bulk.

Structure (POSCAR):
```
NdPaVN4
1.0
5.829 0.000 0.000
0.000 5.486 0.000
-2.134 0.000 6.472
Nd Pa V N
2 2 2 8
Direct
0.209 0.250 0.427 Nd
0.791 0.750 0.573 Nd
0.280 0.250 0.947 Pa
0.720 0.750 0.053 Pa
0.263 0.750 0.192 V
0.737 0.250 0.808 V
0.054 0.750 0.348 N
0.058 0.750 0.931 N
0.478 0.502 0.220 N
0.478 0.998 0.220 N
0.522 0.002 0.780 N
0.522 0.498 0.780 N
0.942 0.250 0.069 N
0.946 0.250 0.652 N
```

Output
theoretical density: 7.74 g/cm3
space-group type: P2_1/m
uncorrected energy: -130.330 eV for the cell shown
formation energy from raw total energies: -818 kJ/mol of formula units

(6)
First-principles (PBE-GGA) data for a geometry-optimized NdPaW2N6 structure, as listed in Alexandria via LeMat-Bulk.

Structure (POSCAR):
```
NdPaW2N6
1.0
5.403 -4.799 0.000
5.403 4.799 0.000
-1.959 0.000 5.943
Nd Pa W N
2 2 4 12
Direct
0.091 0.909 0.750 Nd
0.909 0.091 0.250 Nd
0.313 0.687 0.250 Pa
0.687 0.313 0.750 Pa
0.205 0.390 0.754 W
0.390 0.205 0.254 W
0.610 0.795 0.746 W
0.795 0.610 0.246 W
0.006 0.761 0.339 N
0.130 0.633 0.897 N
0.239 0.994 0.161 N
0.335 0.388 0.513 N
0.367 0.870 0.603 N
0.388 0.335 0.013 N
0.612 0.665 0.987 N
0.633 0.130 0.397 N
0.665 0.612 0.487 N
0.761 0.006 0.839 N
0.870 0.367 0.103 N
0.994 0.239 0.661 N
```

Output
theoretical density: 8.91 g/cm3
space-group type: C2/c
uncorrected energy: -198.161 eV for the cell shown
formation energy from raw total energies: -864 kJ/mol of formula units

(7)
First-principles (PBE-GGA) data for a geometry-optimized NdY3Pa2N6 structure, as listed in Alexandria via LeMat-Bulk.

Structure (POSCAR):
```
NdY3Pa2N6
1.0
7.635 -1.762 0.000
7.635 1.762 0.000
-1.584 0.000 6.851
Nd Y Pa N
1 3 2 6
Direct
0.000 0.000 0.000 Nd
0.000 0.000 0.500 Y
0.334 0.334 0.165 Y
0.666 0.666 0.835 Y
0.334 0.334 0.669 Pa
0.666 0.666 0.331 Pa
0.168 0.168 0.575 N
0.170 0.170 0.099 N
0.491 0.491 0.735 N
0.509 0.509 0.265 N
0.830 0.830 0.901 N
0.832 0.832 0.425 N
```

Output
theoretical density: 8.62 g/cm3
space-group type: C2/m
uncorrected energy: -112.589 eV for the cell shown
formation energy from raw total energies: -1880 kJ/mol of formula units

(8)
First-principles (PBE-GGA) data for a geometry-optimized Nd2YPaN4 structure, as listed in Alexandria via LeMat-Bulk.

Structure (POSCAR):
```
Nd2YPaN4
1.0
6.115 0.000 0.000
0.000 3.572 0.000
-2.027 0.000 5.869
Nd Y Pa N
2 1 1 4
Direct
0.000 0.000 0.000 Nd
0.500 0.500 0.000 Nd
0.000 0.500 0.500 Y
0.500 0.000 0.500 Pa
0.257 0.000 0.724 N
0.269 0.500 0.280 N
0.731 0.500 0.720 N
0.743 0.000 0.276 N
```

Output
theoretical density: 8.61 g/cm3
space-group type: P2/m
uncorrected energy: -71.415 eV for the cell shown
formation energy from raw total energies: -1217 kJ/mol of formula units

(9)
First-principles (PBE-GGA) data for a geometry-optimized NdPa2ZnN5 structure, as listed in Alexandria via LeMat-Bulk.

Structure (POSCAR):
```
NdPa2ZnN5
1.0
1.771 -6.753 0.000
1.771 6.753 0.000
0.000 0.000 11.084
Nd Pa Zn N
2 4 2 10
Direct
0.146 0.854 0.500 Nd
0.854 0.146 0.000 Nd
0.093 0.907 0.803 Pa
0.184 0.816 0.202 Pa
0.816 0.184 0.702 Pa
0.907 0.093 0.303 Pa
0.457 0.543 0.558 Zn
0.543 0.457 0.058 Zn
0.010 0.990 0.143 N
0.273 0.727 0.833 N
0.308 0.692 0.579 N
0.346 0.654 0.180 N
0.495 0.505 0.383 N
0.505 0.495 0.883 N
0.654 0.346 0.680 N
0.692 0.308 0.079 N
0.727 0.273 0.333 N
0.990 0.010 0.643 N
```

Output
theoretical density: 9.29 g/cm3
space-group type: Cmc2_1
uncorrected energy: -154.200 eV for the cell shown
formation energy from raw total energies: -1007 kJ/mol of formula units

(10)
First-principles (PBE-GGA) data for a geometry-optimized NdZr2PaN4 structure, as listed in Alexandria via LeMat-Bulk.

Structure (POSCAR):
```
NdZr2PaN4
1.0
5.891 0.000 0.000
0.000 3.387 0.000
-1.948 0.000 5.618
Nd Zr Pa N
1 2 1 4
Direct
0.000 0.000 0.000 Nd
0.000 0.500 0.500 Zr
0.500 0.000 0.500 Zr
0.500 0.500 0.000 Pa
0.257 0.000 0.733 N
0.274 0.500 0.273 N
0.726 0.500 0.727 N
0.743 0.000 0.267 N
```

Output
theoretical density: 9.09 g/cm3
space-group type: P2/m
uncorrected energy: -77.494 eV for the cell shown
formation energy from raw total energies: -1238 kJ/mol of formula units

(11)
First-principles (PBE-GGA) data for a geometry-optimized Nd4PbN2 structure, as listed in Alexandria via LeMat-Bulk.

Structure (POSCAR):
```
Nd4PbN2
1.0
1.832 1.058 14.654
-1.832 1.058 14.654
0.000 -2.116 14.654
Nd Pb N
4 1 2
Direct
0.125 0.125 0.125 Nd
0.271 0.271 0.271 Nd
0.729 0.729 0.729 Nd
0.875 0.875 0.875 Nd
0.000 0.000 0.000 Pb
0.427 0.427 0.427 N
0.573 0.573 0.573 N
```

Output
theoretical density: 7.91 g/cm3
space-group type: R-3m
uncorrected energy: -45.773 eV for the cell shown
formation energy from raw total energies: -612 kJ/mol of formula units

(12)
First-principles (PBE-GGA) data for a geometry-optimized Nd12Pb3N5 structure, as listed in Alexandria via LeMat-Bulk.

Structure (POSCAR):
```
Nd12Pb3N5
1.0
-8.162 8.162 8.162
8.162 -8.162 8.162
8.162 8.162 -8.162
Nd Pb N
48 12 20
Direct
0.011 0.196 0.109 Nd
0.011 0.315 0.902 Nd
0.087 0.696 0.685 Nd
0.087 0.891 0.402 Nd
0.098 0.609 0.413 Nd
0.098 0.989 0.685 Nd
0.109 0.011 0.196 Nd
0.109 0.598 0.913 Nd
0.185 0.196 0.587 Nd
0.185 0.489 0.598 Nd
0.196 0.109 0.011 Nd
0.196 0.587 0.185 Nd
0.304 0.315 0.913 Nd
0.304 0.489 0.391 Nd
0.315 0.902 0.011 Nd
0.315 0.913 0.304 Nd
0.391 0.304 0.489 Nd
0.391 0.587 0.902 Nd
0.402 0.087 0.891 Nd
0.402 0.815 0.511 Nd
0.413 0.098 0.609 Nd
0.413 0.815 0.804 Nd
0.489 0.391 0.304 Nd
0.489 0.598 0.185 Nd
0.511 0.402 0.815 Nd
0.511 0.609 0.696 Nd
0.587 0.185 0.196 Nd
0.587 0.902 0.391 Nd
0.598 0.185 0.489 Nd
0.598 0.913 0.109 Nd
0.609 0.413 0.098 Nd
0.609 0.696 0.511 Nd
0.685 0.087 0.696 Nd
0.685 0.098 0.989 Nd
0.696 0.511 0.609 Nd
0.696 0.685 0.087 Nd
0.804 0.413 0.815 Nd
0.804 0.891 0.989 Nd
0.815 0.511 0.402 Nd
0.815 0.804 0.413 Nd
0.891 0.402 0.087 Nd
0.891 0.989 0.804 Nd
0.902 0.011 0.315 Nd
0.902 0.391 0.587 Nd
0.913 0.109 0.598 Nd
0.913 0.304 0.315 Nd
0.989 0.685 0.098 Nd
0.989 0.804 0.891 Nd
0.125 0.250 0.375 Pb
0.125 0.375 0.750 Pb
0.250 0.375 0.125 Pb
0.250 0.875 0.625 Pb
0.375 0.125 0.250 Pb
0.375 0.750 0.125 Pb
0.625 0.250 0.875 Pb
0.625 0.875 0.750 Pb
0.750 0.125 0.375 Pb
0.750 0.625 0.875 Pb
0.875 0.625 0.250 Pb
0.875 0.750 0.625 Pb
0.000 0.000 0.000 N
0.000 0.000 0.500 N
0.000 0.500 0.000 N
0.000 0.500 0.500 N
0.125 0.750 0.875 N
0.125 0.875 0.250 N
0.250 0.125 0.875 N
0.250 0.625 0.375 N
0.375 0.250 0.625 N
0.375 0.625 0.750 N
0.500 0.000 0.000 N
0.500 0.000 0.500 N
0.500 0.500 0.000 N
0.500 0.500 0.500 N
0.625 0.375 0.250 N
0.625 0.750 0.375 N
0.750 0.375 0.625 N
0.750 0.875 0.125 N
0.875 0.125 0.750 N
0.875 0.250 0.125 N
```

Output
theoretical density: 7.40 g/cm3
space-group type: Ia-3d
uncorrected energy: -502.346 eV for the cell shown
formation energy from raw total energies: -1507 kJ/mol of formula units

(13)
First-principles (PBE-GGA) data for a geometry-optimized Nd4Pb2N structure, as listed in Alexandria via LeMat-Bulk.

Structure (POSCAR):
```
Nd4Pb2N
1.0
4.947 0.000 0.000
0.000 4.947 0.000
0.000 0.000 16.684
Nd Pb N
8 4 2
Direct
0.000 0.000 0.159 Nd
0.000 0.000 0.841 Nd
0.000 0.500 0.000 Nd
0.000 0.500 0.500 Nd
0.500 0.000 0.000 Nd
0.500 0.000 0.500 Nd
0.500 0.500 0.341 Nd
0.500 0.500 0.659 Nd
0.000 0.000 0.357 Pb
0.000 0.000 0.643 Pb
0.500 0.500 0.143 Pb
0.500 0.500 0.857 Pb
0.000 0.000 0.000 N
0.500 0.500 0.500 N
```

Output
theoretical density: 8.18 g/cm3
space-group type: I4/mmm
uncorrected energy: -80.407 eV for the cell shown
formation energy from raw total energies: -520 kJ/mol of formula units

(14)
First-principles (PBE-GGA) data for a geometry-optimized NdPbN structure, as listed in Alexandria via LeMat-Bulk.

Structure (POSCAR):
```
NdPbN
1.0
3.527 0.000 0.000
0.000 3.527 0.000
0.000 0.000 12.053
Nd Pb N
2 2 2
Direct
0.000 0.000 0.000 Nd
0.500 0.500 0.500 Nd
0.000 0.000 0.291 Pb
0.500 0.500 0.791 Pb
0.000 0.000 0.489 N
0.500 0.500 0.989 N
```

Output
theoretical density: 8.09 g/cm3
space-group type: I4mm
uncorrected energy: -36.933 eV for the cell shown
formation energy from raw total energies: -161 kJ/mol of formula units

(15)
First-principles (PBE-GGA) data for a geometry-optimized Nd6Pb3N2 structure, as listed in Alexandria via LeMat-Bulk.

Structure (POSCAR):
```
Nd6Pb3N2
1.0
-2.453 2.453 13.142
2.453 -2.453 13.142
2.453 2.453 -13.142
Nd Pb N
6 3 2
Direct
0.084 0.584 0.500 Nd
0.192 0.192 0.000 Nd
0.416 0.916 0.500 Nd
0.584 0.084 0.500 Nd
0.808 0.808 0.000 Nd
0.916 0.416 0.500 Nd
0.322 0.322 0.000 Pb
0.500 0.500 0.000 Pb
0.678 0.678 0.000 Pb
0.104 0.104 0.000 N
0.896 0.896 0.000 N
```

Output
theoretical density: 7.95 g/cm3
space-group type: I4/mmm
uncorrected energy: -65.564 eV for the cell shown
formation energy from raw total energies: -886 kJ/mol of formula units

(16)
First-principles (PBE-GGA) data for a geometry-optimized Nd7Pb2N2 structure, as listed in Alexandria via LeMat-Bulk.

Structure (POSCAR):
```
Nd7Pb2N2
1.0
5.731 -3.935 0.000
5.731 3.935 0.000
-0.732 0.000 6.767
Nd Pb N
7 2 2
Direct
0.000 0.000 0.000 Nd
0.066 0.491 0.777 Nd
0.429 0.429 0.206 Nd
0.491 0.066 0.777 Nd
0.509 0.934 0.223 Nd
0.571 0.571 0.794 Nd
0.934 0.509 0.223 Nd
0.188 0.812 0.500 Pb
0.812 0.188 0.500 Pb
0.226 0.226 0.028 N
0.774 0.774 0.972 N
```

Output
theoretical density: 7.90 g/cm3
space-group type: C2/m
uncorrected energy: -63.137 eV for the cell shown
formation energy from raw total energies: -549 kJ/mol of formula units

(17)
First-principles (PBE-GGA) data for a geometry-optimized Nd3Pb2N structure, as listed in Alexandria via LeMat-Bulk.

Structure (POSCAR):
```
Nd3Pb2N
1.0
3.582 0.000 0.000
0.000 6.219 0.000
0.000 0.000 14.949
Nd Pb N
6 4 2
Direct
0.000 0.000 0.000 Nd
0.000 0.000 0.387 Nd
0.000 0.000 0.613 Nd
0.500 0.500 0.113 Nd
0.500 0.500 0.500 Nd
0.500 0.500 0.887 Nd
0.000 0.500 0.310 Pb
0.000 0.500 0.690 Pb
0.500 0.000 0.190 Pb
0.500 0.000 0.810 Pb
0.000 0.500 0.000 N
0.500 0.000 0.500 N
```

Output
theoretical density: 8.59 g/cm3
space-group type: Immm
uncorrected energy: -67.662 eV for the cell shown
formation energy from raw total energies: -365 kJ/mol of formula units

(18)
First-principles (PBE-GGA) data for a geometry-optimized Nd4Pb2N structure, as listed in Alexandria via LeMat-Bulk.

Structure (POSCAR):
```
Nd4Pb2N
1.0
6.781 0.000 0.000
0.000 6.986 0.000
-3.329 0.000 8.994
Nd Pb N
8 4 2
Direct
0.181 0.250 0.048 Nd
0.240 0.501 0.719 Nd
0.240 0.999 0.719 Nd
0.270 0.750 0.342 Nd
0.730 0.250 0.658 Nd
0.760 0.001 0.281 Nd
0.760 0.499 0.281 Nd
0.819 0.750 0.952 Nd
0.234 0.250 0.410 Pb
0.340 0.750 0.032 Pb
0.660 0.250 0.968 Pb
0.766 0.750 0.590 Pb
0.087 0.250 0.792 N
0.913 0.750 0.208 N
```

Output
theoretical density: 7.84 g/cm3
space-group type: P2_1/m
uncorrected energy: -80.000 eV for the cell shown
formation energy from raw total energies: -500 kJ/mol of formula units

(19)
First-principles (PBE-GGA) data for a geometry-optimized Nd2PbN structure, as listed in Alexandria via LeMat-Bulk.

Structure (POSCAR):
```
Nd2PbN
1.0
3.271 0.000 0.000
0.000 3.271 0.000
0.000 0.000 8.200
Nd Pb N
2 1 1
Direct
0.000 0.000 0.182 Nd
0.000 0.000 0.818 Nd
0.500 0.500 0.500 Pb
0.500 0.500 0.000 N
```

Output
theoretical density: 9.65 g/cm3
space-group type: P4/mmm
uncorrected energy: -23.512 eV for the cell shown
formation energy from raw total energies: -187 kJ/mol of formula units